Record 1
# KCrSb2

Crystalline KCrSb2 at its relaxed geometry (PBE-GGA, the Alexandria database). Values from VASP.

Space group: I-4m2, No. 119
Size of the total moment: 1.052 μB/atom
Crystal system: tetragonal
Volume: 26.875 A^3/atom
ΔE_f (raw): 0.391 eV per atom

Quantum ESPRESSO input file:
```
&SYSTEM
  ibrav = 0, nat = 4, ntyp = 3
/
ATOMIC_SPECIES
Cr 52.00 Cr.upf
K 39.10 K.upf
Sb 121.76 Sb.upf
CELL_PARAMETERS angstrom
6.029 -0.125 0.000
2.633 5.425 0.000
-4.331 -2.650 3.254
ATOMIC_POSITIONS angstrom
Cr 4.331 2.650 0.000
K 3.015 -0.063 1.627
Sb 0.000 0.000 0.000
Sb 1.316 2.713 1.627
```

---

Record 2
# MgNi3S

Crystalline MgNi3S at its relaxed geometry (PBE-GGA, the Alexandria database). Values from VASP.

Space group: Pm-3m, No. 221
Size of the total moment: 0.208 μB/atom
Crystal system: cubic
Volume: 16.788 A^3/atom
ΔE_f (raw): 1.296 eV per atom

Quantum ESPRESSO input file:
```
&SYSTEM
  ibrav = 0, nat = 5, ntyp = 3
/
ATOMIC_SPECIES
Ni 58.69 Ni.upf
S 32.06 S.upf
Mg 24.30 Mg.upf
CELL_PARAMETERS angstrom
-0.694 -1.222 -4.147
-1.931 -3.670 1.404
-3.868 2.051 0.043
ATOMIC_POSITIONS angstrom
Ni -0.965 -1.835 0.702
Ni -1.934 1.026 0.021
Ni -0.347 -0.611 -2.073
S -3.246 -1.421 -1.350
Mg 0.000 0.000 0.000
```

---

Record 3
# TcGe3P

Crystalline TcGe3P at its relaxed geometry (PBE-GGA, the Alexandria database). Values from VASP.

Space group: Pm-3m, No. 221
Size of the total moment: 0.529 μB/atom
Crystal system: cubic
Volume: 20.344 A^3/atom
E_form: 1.1266 eV/atom

Quantum ESPRESSO input file:
```
&SYSTEM
  ibrav = 0, nat = 5, ntyp = 3
/
ATOMIC_SPECIES
P 30.97 P.upf
Ge 72.64 Ge.upf
Tc 98.00 Tc.upf
CELL_PARAMETERS angstrom
-2.925 -1.379 -3.366
0.435 -4.421 1.433
-3.612 0.584 2.899
ATOMIC_POSITIONS angstrom
P 0.000 0.000 0.000
Ge 0.218 -2.211 0.716
Ge -1.806 0.292 1.449
Ge -1.463 -0.689 -1.683
Tc -3.051 -2.608 0.483
```

---

Record 4
# InAsPd2

Crystalline InAsPd2 at its relaxed geometry (PBE-GGA, the Alexandria database). Values from VASP.

Space group: P4/mmm, No. 123
Size of the total moment: 0.000 μB/atom
Crystal system: tetragonal
Volume: 17.243 A^3/atom
E_form: -0.3320 eV/atom

Quantum ESPRESSO input file:
```
&SYSTEM
  ibrav = 0, nat = 4, ntyp = 3
/
ATOMIC_SPECIES
As 74.92 As.upf
Pd 106.42 Pd.upf
In 114.82 In.upf
CELL_PARAMETERS angstrom
3.230 0.000 0.000
0.000 3.230 0.000
0.000 0.000 6.611
ATOMIC_POSITIONS angstrom
As 1.615 1.615 0.000
Pd 0.000 0.000 5.038
Pd 0.000 0.000 1.573
In 1.615 1.615 3.306
```

---

Look up the volume of the first one. 26.875 A^3/atom

---

What is the size of the total moment in the third record? 0.529 μB/atom